First-principles (PBE) data for a relaxed structure of Ti4ZnPd5, as listed in Alexandria via LeMat-Bulk.

Cell lengths 2.8635, 2.8635, 18.7603 Å; angles 90.00, 90.00, 90.00 degrees
Each line ends with the local moment (μB).
Positions (direct):
Ti (0.0000, 0.0000, 0.1941)  0.43
Ti (0.0000, 0.0000, 0.3982)  0.19
Ti (0.0000, 0.0000, 0.6018)  0.19
Ti (0.0000, 0.0000, 0.8059)  0.43
Zn (0.0000, 0.0000, 0.0000)  0.00
Pd (0.5000, 0.5000, 0.0941)  0.01
Pd (0.5000, 0.5000, 0.2965)  0.01
Pd (0.5000, 0.5000, 0.5000)  0.00
Pd (0.5000, 0.5000, 0.7035)  0.01
Pd (0.5000, 0.5000, 0.9059)  0.01

Values from the calculation:
ΔH_f (0 K)	-544	meV per atom
DOS at the Fermi energy	9.36	states/eV/cell
SG	P4/mmm, No. 123
calculated density	8.52	g cm⁻³

First-principles (PBE) data for a relaxed structure of Fe2SbSe, as listed in Alexandria via LeMat-Bulk.

Cell lengths 4.6263, 4.6263, 4.6263 Å; angles 60.00, 60.00, 60.00 degrees
Each line ends with the local moment (μB).
Positions (direct):
Fe (0.0000, 0.0000, 0.0000)  2.79
Fe (0.2500, 0.2500, 0.2500)  2.60
Sb (0.5000, 0.5000, 0.5000)  -0.03
Se (0.7500, 0.7500, 0.7500)  0.01

Values from the calculation:
raw total energy	-22.0	eV/cell
DOS at the Fermi energy	3.56	states/eV/cell
SG	F-43m, No. 216
calculated density	7.41	g cm⁻³

DOS at the Fermi energy of number 1 (Ti4ZnPd5)? 9.36 states/eV/cell